Below is crystalline HgBiTeN2 at its relaxed geometry, with properties calculated at the PBE-GGA level.

Cell: 4.4279 4.4279 6.5169 Å, 90.00 90.00 90.00°
Fractional coordinates of all 5 atoms:
Hg: 0.0000 0.0000 0.0000
Bi: 0.5000 0.5000 0.5000
Te: 0.5000 0.5000 0.0000
N: 0.0000 0.5000 0.5000
N: 0.5000 0.0000 0.5000

The final energy is -16.86 eV/cell. The value obtained for the raw formation energy is 1422 meV per atom. As for the volume: 127.8 Å³ per cell. For the offset from the most stable computed form, the calculation gives 0 meV per atom.